(1)
Material: TaAg3Bi
Method: DFT, PBE-GGA
State: relaxed

```
TaAg3Bi
1.0
-0.182 -0.551 -5.119
5.061 -0.960 -0.077
-0.946 -5.031 0.576
Ag Bi Ta
3 1 1
Cartesian
2.530 -0.480 -0.038 Ag
-0.091 -0.276 -2.559 Ag
-0.473 -2.516 0.288 Ag
1.966 -3.272 -2.310 Bi
0.000 0.000 0.000 Ta
```

Properties
The value obtained for the magnetic moment is 0.00 μB/cell. As for the energy of formation from the pure elements: 1.324 eV per atom. The polymorph energy (0 for the lowest one) is 0 meV/atom. Its space group is Pm-3m.

---

(2)
Material: Ti2MoPd
Method: DFT, PBE-GGA
State: relaxed

```
Ti2MoPd
1.0
4.452 0.000 0.000
2.226 3.856 0.000
2.226 1.285 3.635
Pd Ti Mo
1 2 1
Cartesian
2.226 1.285 0.909 Pd
4.452 2.571 1.818 Ti
0.000 0.000 0.000 Ti
6.679 3.856 2.727 Mo
```

Properties
The value obtained for the magnetic moment is 0.00 μB/cell. As for the energy of formation from the pure elements: -0.394 eV per atom. Its space group is Fm-3m.

---

(3)
Material: AsBr2OF
Method: DFT, PBE-GGA
State: relaxed

```
AsBr2OF
1.0
5.587 0.000 0.000
0.000 5.587 0.000
0.000 0.000 3.868
F As Br O
1 1 2 1
Cartesian
0.000 0.000 0.000 F
0.000 0.000 1.934 As
0.000 2.794 0.000 Br
2.794 0.000 0.000 Br
2.794 2.794 1.934 O
```

Properties
The value obtained for the magnetic moment is 2.27 μB/cell. The polymorph energy (0 for the lowest one) is 216 meV/atom. Its space group is P4/mmm. The formation energy from raw total energies is 0.551 eV per atom.

---

(4)
Material: RbTl9Hg2
Method: DFT, PBE-GGA
State: relaxed

```
RbTl9Hg2
1.0
0.487 8.735 0.139
-6.585 4.643 6.683
6.842 3.891 6.902
Tl Hg Rb
18 4 2
Cartesian
-3.858 6.223 8.414 Tl
3.025 8.891 8.571 Tl
-3.801 6.273 5.095 Tl
-2.234 9.238 5.166 Tl
2.203 12.439 9.613 Tl
-1.111 12.625 9.559 Tl
0.494 10.818 6.896 Tl
2.348 15.462 11.061 Tl
3.082 8.940 5.252 Tl
4.311 5.819 5.227 Tl
-2.290 9.188 8.485 Tl
-0.966 15.647 11.007 Tl
0.000 0.000 0.000 Tl
-1.507 3.970 4.097 Tl
4.254 5.769 8.546 Tl
-1.314 7.034 2.745 Tl
1.807 3.784 4.151 Tl
2.001 6.848 2.799 Tl
0.375 9.676 10.241 Hg
3.911 11.722 6.968 Hg
0.490 9.776 3.517 Hg
-2.802 12.098 6.859 Hg
0.250 6.451 6.827 Rb
0.243 4.367 0.069 Rb
```

Properties
The value obtained for the magnetic moment is 0.00 μB/cell. As for the energy of formation from the pure elements: -0.041 eV per atom. Its space group is I4_1/amd.

---

(5)
Material: Cu6NiRh
Method: DFT, PBE-GGA
State: relaxed

```
Cu6NiRh
1.0
-1.019 3.441 0.677
0.112 -0.673 3.588
6.979 2.035 0.164
Cu Ni Rh
6 1 1
Cartesian
5.232 1.173 1.916 Cu
4.666 3.230 0.460 Cu
1.294 2.246 0.381 Cu
-0.454 1.384 2.132 Cu
1.859 0.190 1.836 Cu
3.036 2.402 2.215 Cu
3.490 1.018 0.082 Ni
0.000 0.000 0.000 Rh
```

Properties
The value obtained for the magnetic moment is 0.00 μB/cell. As for the energy of formation from the pure elements: 0.034 eV per atom. The polymorph energy (0 for the lowest one) is 13 meV/atom. Its space group is P4/mmm.

---

(6)
Material: NaZnSiHO4
Method: DFT, PBE-GGA
State: relaxed

```
NaZnSiHO4
1.0
-0.752 -4.513 -2.535
6.875 0.832 -3.521
4.192 -4.675 7.080
O H Na Si Zn
16 4 4 4 4
Cartesian
9.997 -3.404 2.274 O
5.558 -8.025 3.222 O
4.017 -2.966 -2.128 O
5.810 -1.540 -3.282 O
7.720 -7.740 1.793 O
3.537 -4.342 0.189 O
3.564 -3.090 3.349 O
5.922 -4.306 -0.863 O
8.958 -5.258 -0.559 O
4.911 -1.986 0.214 O
1.136 -1.853 -1.058 O
8.015 -2.528 0.748 O
0.139 -4.416 -1.106 O
6.622 -5.052 3.500 O
1.326 -3.400 1.086 O
5.290 -6.941 0.818 O
4.549 -2.798 3.385 H
2.670 -3.924 0.551 H
8.303 -7.842 0.953 H
5.108 -2.148 -2.841 H
2.825 -1.509 1.586 Na
8.590 -5.398 1.929 Na
4.392 -5.227 2.343 Na
4.823 -4.578 -3.809 Na
0.387 -3.063 -0.223 Si
6.843 -3.591 4.198 Si
8.801 -6.711 -1.289 Si
4.599 -3.346 -0.637 Si
5.607 -6.283 -1.001 Zn
7.807 -3.689 -0.876 Zn
4.886 -4.643 6.548 Zn
2.331 -2.097 -2.622 Zn
```

Properties
The value obtained for the magnetic moment is 0.00 μB/cell. Its space group is P2_12_12_1. Its energy is -188.614 eV per cell.

---

(7)
Material: Ba3CaSb2O8
Method: DFT, PBE-GGA
State: relaxed

```
Ba3CaSb2O8
1.0
6.165 0.000 0.000
-3.083 5.339 0.000
0.000 0.000 7.985
O Ba Ca Sb
8 3 1 2
Cartesian
0.000 1.817 2.555 O
1.574 0.909 5.430 O
1.509 4.431 2.555 O
4.591 0.909 5.430 O
0.000 3.559 7.552 O
3.083 3.522 5.430 O
-1.509 4.431 2.555 O
3.083 1.780 0.432 O
0.000 0.000 0.000 Ba
0.000 3.559 5.093 Ba
3.083 1.780 2.891 Ba
0.000 0.000 3.992 Ca
3.083 1.780 6.406 Sb
0.000 3.559 1.579 Sb
```

Properties
The value obtained for the magnetic moment is 1.65 μB/cell. Its space group is P-3m1. The formation energy from raw total energies is -2.079 eV per atom.

---

(8)
Material: ZrPa2MnN5
Method: DFT, PBE-GGA
State: relaxed

```
ZrPa2MnN5
1.0
5.490 0.000 0.000
0.000 6.459 0.000
0.000 0.000 6.459
Mn N Zr Pa
2 10 2 4
Cartesian
0.000 0.000 3.230 Mn
0.000 3.230 0.000 Mn
4.221 4.234 5.455 N
1.270 5.455 2.225 N
1.270 2.225 1.004 N
1.270 4.234 5.455 N
1.270 1.004 4.234 N
4.221 1.004 4.234 N
2.745 3.230 3.230 N
2.745 0.000 0.000 N
4.221 2.225 1.004 N
4.221 5.455 2.225 N
0.000 3.230 3.230 Zr
0.000 0.000 0.000 Zr
2.745 5.379 4.310 Pa
2.745 2.149 5.379 Pa
2.745 4.310 1.080 Pa
2.745 1.080 2.149 Pa
```

Properties
The value obtained for the magnetic moment is 4.04 μB/cell. Its space group is P4/mbm. The formation energy from raw total energies is -1.030 eV per atom.

---

(9)
Material: PdPb2F7
Method: DFT, PBE-GGA
State: relaxed

```
PdPb2F7
1.0
6.826 0.000 3.329
2.892 6.453 2.732
0.597 -0.271 7.438
F Pb Pd
14 4 2
Cartesian
2.365 1.646 8.544 F
5.252 1.410 8.252 F
3.797 6.168 7.716 F
7.950 4.535 4.954 F
7.927 2.193 7.530 F
6.610 5.008 7.702 F
5.733 0.898 3.366 F
3.489 3.077 3.331 F
6.518 0.014 5.783 F
5.063 4.772 5.247 F
2.388 3.989 5.969 F
6.826 3.105 10.167 F
3.705 1.173 5.797 F
4.581 5.284 10.133 F
6.564 2.615 5.300 Pb
3.137 0.476 3.665 Pb
7.178 5.706 9.833 Pb
3.751 3.567 8.199 Pb
3.149 4.772 4.314 Pd
7.166 1.410 9.185 Pd
```

Properties
The value obtained for the magnetic moment is 1.91 μB/cell. Its space group is C2/c. The formation energy from raw total energies is -1.890 eV per atom.

---

(10)
Material: Pm2MgRu2
Method: DFT, PBE-GGA
State: relaxed

```
Pm2MgRu2
1.0
5.566 0.000 0.000
-2.783 5.092 -0.015
0.000 -2.366 7.934
Pm Ru Mg
4 4 2
Cartesian
1.904 1.138 1.151 Pm
0.879 1.588 6.768 Pm
3.662 -0.045 5.118 Pm
-0.879 2.771 2.801 Pm
1.878 2.507 3.865 Ru
0.905 0.219 4.053 Ru
-1.878 1.324 7.833 Ru
4.661 1.402 0.086 Ru
0.740 -1.774 5.951 Mg
4.826 -0.591 1.984 Mg
```

Properties
The value obtained for the magnetic moment is 0.00 μB/cell. As for the energy of formation from the pure elements: -0.182 eV per atom. The polymorph energy (0 for the lowest one) is 24 meV/atom. Its space group is C2/c.

---

(11)
Material: AlPdPt6
Method: DFT, PBE-GGA
State: relaxed

```
AlPdPt6
1.0
-3.694 0.788 -1.085
-1.341 -2.127 3.021
0.037 6.475 4.577
Pt Al Pd
6 1 1
Cartesian
-0.643 3.744 4.908 Pt
-1.820 5.202 2.856 Pt
-2.499 2.568 3.256 Pt
-2.518 -0.670 0.968 Pt
-0.661 0.604 2.689 Pt
-1.838 2.062 0.636 Pt
0.019 3.238 2.288 Al
0.000 0.000 0.000 Pd
```

Properties
The value obtained for the magnetic moment is 0.00 μB/cell. As for the energy of formation from the pure elements: -0.359 eV per atom. The polymorph energy (0 for the lowest one) is 0 meV/atom. Its space group is P4/mmm.

---

(12)
Material: HoSc3Cd6
Method: DFT, PBE-GGA
State: relaxed

```
HoSc3Cd6
1.0
5.015 0.000 0.000
0.000 8.415 -2.576
0.000 0.195 10.684
Cd Sc Ho
12 6 2
Cartesian
3.761 3.077 2.246 Cd
3.761 1.528 7.083 Cd
3.761 7.941 -1.436 Cd
1.254 2.269 4.784 Cd
1.254 7.082 1.025 Cd
3.761 4.770 8.229 Cd
1.254 1.282 1.771 Cd
3.761 6.342 3.324 Cd
1.254 0.669 9.545 Cd
1.254 3.840 -0.121 Cd
3.761 7.328 6.337 Cd
1.254 5.533 5.863 Cd
3.761 2.066 -0.611 Sc
1.254 4.578 2.838 Sc
1.254 3.119 7.674 Sc
3.761 5.491 0.434 Sc
1.254 6.544 8.719 Sc
3.761 4.032 5.271 Sc
3.761 0.555 4.049 Ho
1.254 8.055 4.060 Ho
```

Properties
The value obtained for the magnetic moment is 0.00 μB/cell. As for the energy of formation from the pure elements: -0.256 eV per atom. Its space group is P2_1/m.